No. 1
{"formula": "MgHSe2Br", "functional": "PBEsol", "state": "optimized geometry", "vol_a3_per_cell": 135.5, "e_tot_ev_per_cell": -12.24, "lattice_angstrom": [[5.076, 0.000, 0.000], [0.000, 5.076, 0.000], [0.000, 0.000, 5.258]], "species": ["Br", "Se", "Se", "H", "Mg"], "frac_coords": [[0.000, 0.000, 0.500], [0.000, 0.500, 0.000], [0.500, 0.000, 0.000], [0.500, 0.500, 0.500], [0.000, 0.000, 0.000]]}

=====

No. 2
{"formula": "KLaGa3", "functional": "PBEsol", "state": "optimized geometry", "vol_a3_per_cell": 183.3, "e_tot_ev_per_cell": -14.18, "lattice_angstrom": [[5.680, 0.000, 0.000], [0.000, 5.680, 0.000], [0.000, 0.000, 5.680]], "species": ["Ga", "Ga", "Ga", "K", "La"], "frac_coords": [[0.500, 0.000, 0.000], [0.000, 0.500, 0.000], [0.000, 0.000, 0.500], [0.500, 0.500, 0.500], [0.000, 0.000, 0.000]]}

=====

No. 3
{"formula": "Zr2FeRh", "functional": "PBEsol", "state": "optimized geometry", "vol_a3_per_cell": 65.2, "e_tot_ev_per_cell": -37.15, "lattice_angstrom": [[-1.791, 2.547, 0.817], [-2.132, -2.489, 3.082], [3.071, 1.173, 3.072]], "species": ["Zr", "Zr", "Rh", "Fe"], "frac_coords": [[0.000, 0.500, 0.000], [0.000, 0.000, 0.500], [0.500, 0.500, 0.500], [0.500, 0.000, 0.000]]}

=====

No. 4
{"formula": "ScGaAu3", "functional": "PBEsol", "state": "optimized geometry", "polymorph_energy_mev_per_atom": 447, "vol_a3_per_cell": 129.5, "lattice_angstrom": [[-2.498, -4.177, -1.380], [0.441, -1.817, 4.701], [-4.377, 2.201, 1.262]], "species": ["Au", "Au", "Au", "Ga", "Sc"], "frac_coords": [[0.500, 0.000, 0.000], [0.000, 0.500, 0.000], [0.000, 0.000, 0.500], [0.500, 0.500, 0.500], [0.000, 0.000, 0.000]]}

=====

No. 5
{"formula": "K6Al4Si6BH4ClO24", "functional": "PBEsol", "state": "optimized geometry", "vol_a3_per_cell": 1269.7, "e_tot_ev_per_cell": -642.16, "lattice_angstrom": [[-6.709, -4.563, 5.581], [-1.518, -6.559, -7.187], [9.370, -7.652, 5.006]], "species": ["H", "H", "H", "H", "H", "H", "H", "H", "O", "O", "O", "O", "O", "O", "O", "O", "O", "O", "O", "O", "O", "O", "O", "O", "O", "O", "O", "O", "O", "O", "O", "O", "O", "O", "O", "O", "O", "O", "O", "O", "O", "O", "O", "O", "O", "O", "O", "O", "O", "O", "O", "O", "O", "O", "O", "O", "Al", "Al", "Al", "Al", "Al", "Al", "Al", "Al", "Si", "Si", "Si", "Si", "Si", "Si", "Si", "Si", "Si", "Si", "Si", "Si", "K", "K", "K", "K", "K", "K", "K", "K", "K", "K", "K", "K", "Cl", "Cl", "B", "B"], "frac_coords": [[0.999, 0.193, 0.556], [0.693, 0.499, 0.056], [0.001, 0.807, 0.556], [0.501, 0.693, 0.944], [0.193, 0.001, 0.444], [0.307, 0.501, 0.056], [0.499, 0.307, 0.944], [0.807, 0.999, 0.444], [0.309, 0.301, 0.317], [0.944, 0.888, 0.564], [0.897, 0.591, 0.441], [0.108, 0.586, 0.080], [0.314, 0.957, 0.769], [0.556, 0.388, 0.936], [0.442, 0.195, 0.728], [0.186, 0.457, 0.731], [0.414, 0.108, 0.920], [0.086, 0.608, 0.580], [0.091, 0.397, 0.941], [0.892, 0.414, 0.080], [0.043, 0.314, 0.231], [0.195, 0.558, 0.272], [0.608, 0.914, 0.420], [0.888, 0.056, 0.436], [0.686, 0.043, 0.769], [0.457, 0.814, 0.269], [0.305, 0.058, 0.228], [0.942, 0.305, 0.772], [0.691, 0.699, 0.317], [0.397, 0.909, 0.059], [0.056, 0.112, 0.564], [0.058, 0.695, 0.772], [0.543, 0.186, 0.269], [0.388, 0.444, 0.064], [0.699, 0.309, 0.683], [0.805, 0.442, 0.272], [0.809, 0.199, 0.183], [0.814, 0.543, 0.731], [0.444, 0.612, 0.936], [0.112, 0.944, 0.436], [0.199, 0.191, 0.817], [0.909, 0.603, 0.941], [0.301, 0.691, 0.683], [0.558, 0.805, 0.728], [0.957, 0.686, 0.231], [0.591, 0.103, 0.559], [0.392, 0.086, 0.420], [0.586, 0.892, 0.920], [0.914, 0.392, 0.580], [0.603, 0.091, 0.059], [0.801, 0.809, 0.817], [0.409, 0.897, 0.559], [0.695, 0.942, 0.228], [0.612, 0.556, 0.064], [0.191, 0.801, 0.183], [0.103, 0.409, 0.441], [0.893, 0.659, 0.815], [0.841, 0.607, 0.315], [0.107, 0.341, 0.815], [0.159, 0.393, 0.315], [0.393, 0.841, 0.685], [0.659, 0.107, 0.185], [0.607, 0.159, 0.685], [0.341, 0.893, 0.185], [0.000, 0.500, 0.008], [0.342, 0.112, 0.805], [0.612, 0.842, 0.305], [0.500, 0.000, 0.992], [0.388, 0.158, 0.305], [0.158, 0.612, 0.695], [0.658, 0.888, 0.805], [0.500, 0.000, 0.492], [0.842, 0.388, 0.695], [0.112, 0.658, 0.195], [0.888, 0.342, 0.195], [0.000, 0.500, 0.508], [0.000, 0.000, 0.250], [0.215, 0.778, 0.939], [0.785, 0.222, 0.939], [0.715, 0.722, 0.561], [0.722, 0.285, 0.439], [0.000, 0.000, 0.750], [0.500, 0.500, 0.250], [0.222, 0.215, 0.061], [0.285, 0.278, 0.561], [0.778, 0.785, 0.061], [0.278, 0.715, 0.439], [0.500, 0.500, 0.750], [0.000, 0.000, 0.000], [0.500, 0.500, 0.500], [0.000, 0.000, 0.500], [0.500, 0.500, 0.000]]}

=====

No. 6
{"formula": "Mg2TaP", "functional": "PBEsol", "state": "optimized geometry", "vol_a3_per_cell": 68.6, "e_tot_ev_per_cell": -21.32, "lattice_angstrom": [[2.911, 0.000, -0.003], [0.000, 4.718, 0.000], [-1.238, 0.000, 4.994]], "species": ["Mg", "Mg", "P", "Ta"], "frac_coords": [[0.139, 0.000, 0.756], [0.861, 0.000, 0.244], [0.500, 0.500, 0.000], [0.500, 0.500, 0.500]]}

=====

No. 7
{"formula": "Be2TcHg", "functional": "PBEsol", "state": "optimized geometry", "vol_a3_per_cell": 50.5, "e_tot_ev_per_cell": -18.68, "lattice_angstrom": [[-2.220, 2.314, -1.188], [0.454, -1.192, -3.173], [-2.348, -3.359, 2.769]], "species": ["Be", "Be", "Tc", "Hg"], "frac_coords": [[0.000, 0.000, 0.000], [0.750, 0.250, 0.500], [0.250, 0.750, 0.500], [0.500, 0.500, 0.000]]}

=====

No. 8
{"formula": "AlH8C3NCl2", "functional": "PBEsol", "state": "optimized geometry", "vol_a3_per_cell": 353.6, "e_tot_ev_per_cell": -158.10, "lattice_angstrom": [[6.804, -0.045, -0.077], [2.535, 6.890, 0.015], [3.088, -1.142, 7.482]], "species": ["C", "C", "C", "C", "C", "C", "H", "H", "H", "H", "H", "H", "H", "H", "H", "H", "H", "H", "H", "H", "H", "H", "Al", "Al", "N", "N", "Cl", "Cl", "Cl", "Cl"], "frac_coords": [[0.860, 0.722, 0.800], [0.015, 0.731, 0.614], [0.480, 0.187, 0.269], [0.520, 0.813, 0.731], [0.140, 0.278, 0.200], [0.985, 0.269, 0.386], [0.077, 0.243, 0.103], [0.536, 0.658, 0.725], [0.810, 0.365, 0.411], [0.464, 0.342, 0.275], [0.606, 0.842, 0.595], [0.139, 0.429, 0.187], [0.339, 0.905, 0.777], [0.985, 0.120, 0.402], [0.923, 0.757, 0.897], [0.394, 0.158, 0.405], [0.969, 0.682, 0.510], [0.015, 0.880, 0.598], [0.190, 0.635, 0.589], [0.031, 0.318, 0.490], [0.661, 0.095, 0.223], [0.861, 0.571, 0.813], [0.569, 0.133, 0.898], [0.431, 0.867, 0.102], [0.619, 0.858, 0.853], [0.381, 0.142, 0.147], [0.136, 0.809, 0.129], [0.388, 0.306, 0.755], [0.864, 0.191, 0.871], [0.612, 0.694, 0.245]]}

=====

No. 9
{"formula": "Nb2PPbI", "functional": "PBEsol", "state": "optimized geometry", "vol_a3_per_cell": 142.8, "e_tot_ev_per_cell": -24.17, "lattice_angstrom": [[-4.807, -0.323, -1.046], [-0.475, -4.103, 3.451], [-1.097, 3.465, 3.969]], "species": ["Pb", "Nb", "Nb", "I", "P"], "frac_coords": [[0.000, 0.000, 0.000], [0.000, 0.000, 0.500], [0.000, 0.500, 0.000], [0.500, 0.500, 0.500], [0.500, 0.000, 0.000]]}

=====

No. 10
{"formula": "ScNi6Rh", "functional": "PBEsol", "state": "optimized geometry", "vol_a3_per_cell": 373.7, "e_tot_ev_per_cell": -212.12, "lattice_angstrom": [[-5.450, -0.899, 2.907], [0.831, -4.416, -4.332], [4.649, -5.890, 6.895]], "species": ["Ni", "Ni", "Ni", "Ni", "Ni", "Ni", "Ni", "Ni", "Ni", "Ni", "Ni", "Ni", "Ni", "Ni", "Ni", "Ni", "Ni", "Ni", "Ni", "Ni", "Ni", "Ni", "Ni", "Ni", "Rh", "Rh", "Rh", "Rh", "Sc", "Sc", "Sc", "Sc"], "frac_coords": [[0.882, 0.629, 0.377], [0.629, 0.882, 0.623], [0.000, 0.000, 0.500], [0.882, 0.629, 0.623], [0.368, 0.121, 0.128], [0.500, 0.500, 0.500], [0.247, 0.753, 0.256], [0.753, 0.247, 0.256], [0.632, 0.879, 0.872], [0.879, 0.632, 0.128], [0.753, 0.247, 0.744], [0.000, 0.000, 0.000], [0.632, 0.879, 0.128], [0.118, 0.371, 0.623], [0.368, 0.121, 0.872], [0.118, 0.371, 0.377], [0.247, 0.753, 0.744], [0.121, 0.368, 0.128], [0.879, 0.632, 0.872], [0.121, 0.368, 0.872], [0.371, 0.118, 0.377], [0.629, 0.882, 0.377], [0.371, 0.118, 0.623], [0.500, 0.500, 0.000], [0.000, 0.000, 0.252], [0.741, 0.259, 0.500], [0.259, 0.741, 0.500], [0.000, 0.000, 0.748], [0.748, 0.252, 0.000], [0.252, 0.748, 0.000], [0.500, 0.500, 0.250], [0.500, 0.500, 0.750]]}

=====

No. 11
{"formula": "Li2CaCu", "functional": "PBEsol", "state": "optimized geometry", "polymorph_energy_mev_per_atom": 0, "vol_a3_per_cell": 81.6, "lattice_angstrom": [[3.443, 0.000, 0.000], [0.000, 4.781, -0.053], [-1.721, -2.354, 4.983]], "species": ["Cu", "Ca", "Li", "Li"], "frac_coords": [[0.500, 0.000, 0.000], [0.000, 0.500, 0.000], [0.208, 0.209, 0.417], [0.792, 0.791, 0.583]]}

=====

No. 12
{"formula": "NbAg7S6", "functional": "PBEsol", "state": "optimized geometry", "vol_a3_per_cell": 562.2, "e_tot_ev_per_cell": -126.77, "lattice_angstrom": [[-2.137, 6.611, -1.645], [-3.270, -2.582, -6.128], [-8.950, -1.518, 5.524]], "species": ["Ag", "Ag", "Ag", "Ag", "Ag", "Ag", "Ag", "Ag", "Ag", "Ag", "Ag", "Ag", "Ag", "Ag", "S", "S", "S", "S", "S", "S", "S", "S", "S", "S", "S", "S", "Nb", "Nb"], "frac_coords": [[0.513, 0.667, 0.014], [0.664, 0.548, 0.770], [0.428, 0.742, 0.536], [0.336, 0.048, 0.270], [0.966, 0.176, 0.346], [0.792, 0.465, 0.218], [0.487, 0.167, 0.514], [0.034, 0.676, 0.846], [0.208, 0.965, 0.718], [0.883, 0.802, 0.090], [0.117, 0.302, 0.590], [0.402, 0.272, 0.796], [0.598, 0.772, 0.296], [0.572, 0.242, 0.036], [0.961, 0.007, 0.888], [0.802, 0.489, 0.985], [0.725, 0.044, 0.215], [0.498, 0.473, 0.367], [0.502, 0.973, 0.867], [0.233, 0.268, 0.108], [0.242, 0.755, 0.140], [0.767, 0.768, 0.608], [0.758, 0.255, 0.640], [0.039, 0.507, 0.388], [0.198, 0.989, 0.485], [0.275, 0.544, 0.715], [0.239, 0.997, 0.999], [0.761, 0.497, 0.499]]}

=====

No. 13
{"formula": "TePb2Se", "functional": "PBEsol", "state": "optimized geometry", "polymorph_energy_mev_per_atom": 62, "vol_a3_per_cell": 120.5, "lattice_angstrom": [[-3.586, -1.798, -1.648], [1.211, -4.064, 1.800], [-1.210, 2.264, 5.870]], "species": ["Pb", "Pb", "Se", "Te"], "frac_coords": [[0.259, 0.627, 0.519], [0.001, 0.095, 0.001], [0.492, 0.641, 0.984], [0.748, 0.138, 0.496]]}

=====

No. 14
{"formula": "MgPt2W", "functional": "PBEsol", "state": "optimized geometry", "vol_a3_per_cell": 61.8, "e_tot_ev_per_cell": -30.90, "lattice_angstrom": [[2.765, 0.000, 0.000], [0.000, 4.814, -0.010], [-1.382, -0.618, 4.641]], "species": ["W", "Mg", "Pt", "Pt"], "frac_coords": [[0.491, 0.456, 0.981], [0.257, 0.794, 0.514], [0.003, 0.958, 0.007], [0.749, 0.292, 0.498]]}

=====

No. 15
{"formula": "SrAg2Ir", "functional": "PBEsol", "state": "optimized geometry", "polymorph_energy_mev_per_atom": 130, "vol_a3_per_cell": 77.1, "lattice_angstrom": [[-1.094, -3.711, 1.818], [4.072, -0.649, 1.126], [-2.181, 4.172, 2.180]], "species": ["Ag", "Ag", "Sr", "Ir"], "frac_coords": [[0.750, 0.250, 0.500], [0.250, 0.750, 0.500], [0.000, 0.000, 0.000], [0.500, 0.500, 0.000]]}

=====

No. 16
{"formula": "Ba2CaGaN", "functional": "PBEsol", "state": "optimized geometry", "vol_a3_per_cell": 219.5, "e_tot_ev_per_cell": -11.65, "lattice_angstrom": [[-3.240, 3.484, 1.869], [-3.369, -0.120, -5.619], [-3.786, -4.793, 2.372]], "species": ["N", "Ga", "Ba", "Ba", "Ca"], "frac_coords": [[0.500, 0.500, 0.500], [0.500, 0.000, 0.000], [0.000, 0.500, 0.000], [0.000, 0.000, 0.500], [0.000, 0.000, 0.000]]}

=====

No. 17
{"formula": "KNiNF2", "functional": "PBEsol", "state": "optimized geometry", "polymorph_energy_mev_per_atom": 1791, "vol_a3_per_cell": 103.8, "lattice_angstrom": [[4.661, 0.000, 0.000], [0.000, 4.661, 0.000], [0.000, 0.000, 4.780]], "species": ["F", "F", "N", "Ni", "K"], "frac_coords": [[0.000, 0.500, 0.000], [0.500, 0.000, 0.000], [0.000, 0.000, 0.500], [0.500, 0.500, 0.500], [0.000, 0.000, 0.000]]}

=====

No. 18
{"formula": "TePtCl", "functional": "PBEsol", "state": "optimized geometry", "vol_a3_per_cell": 76.1, "e_tot_ev_per_cell": -12.83, "lattice_angstrom": [[3.464, 0.000, 0.000], [0.000, 3.464, 0.000], [-1.732, -1.732, 6.344]], "species": ["Cl", "Te", "Pt"], "frac_coords": [[0.016, 0.016, 0.032], [0.785, 0.785, 0.569], [0.199, 0.199, 0.398]]}

=====

No. 19
{"formula": "Lu2MgSe4", "functional": "PBEsol", "state": "optimized geometry", "polymorph_energy_mev_per_atom": 47, "vol_a3_per_cell": 672.0, "lattice_angstrom": [[3.890, 0.000, 0.000], [0.000, 12.830, 0.000], [0.000, 0.000, 13.463]], "species": ["Lu", "Lu", "Lu", "Lu", "Lu", "Lu", "Lu", "Lu", "Se", "Se", "Se", "Se", "Se", "Se", "Se", "Se", "Se", "Se", "Se", "Se", "Se", "Se", "Se", "Se", "Mg", "Mg", "Mg", "Mg"], "frac_coords": [[0.250, 0.146, 0.298], [0.250, 0.113, 0.924], [0.750, 0.854, 0.702], [0.750, 0.354, 0.798], [0.750, 0.887, 0.076], [0.250, 0.613, 0.576], [0.750, 0.387, 0.424], [0.250, 0.646, 0.202], [0.250, 0.983, 0.616], [0.250, 0.483, 0.884], [0.250, 0.532, 0.380], [0.750, 0.254, 0.985], [0.250, 0.218, 0.744], [0.250, 0.718, 0.756], [0.750, 0.282, 0.244], [0.750, 0.782, 0.256], [0.750, 0.017, 0.384], [0.750, 0.754, 0.515], [0.750, 0.517, 0.116], [0.750, 0.468, 0.620], [0.250, 0.746, 0.015], [0.250, 0.246, 0.485], [0.750, 0.968, 0.880], [0.250, 0.032, 0.120], [0.750, 0.118, 0.560], [0.250, 0.882, 0.440], [0.750, 0.618, 0.940], [0.250, 0.382, 0.060]]}

=====

no.,M_tot (Bohr magnetons per cell)
1,2.9
2,0.0
3,0.6
4,0.0
5,0.2
6,0.0
7,0.0
8,0.0
9,4.0
10,8.2
11,0.0
12,0.0
13,0.0
14,0.0
15,0.0
16,1.7
17,4.0
18,0.0
19,0.0